# ZrAlPtW2 | the Alexandria database | GGA-PBE | optimized geometry
data_ZrAlPtW2
_chemical_formula_sum 'Zr1 Al1 Pt1 W2'
_cell_length_a 4.8087
_cell_length_b 4.8087
_cell_length_c 4.9948
_cell_angle_alpha 90.00
_cell_angle_beta 90.00
_cell_angle_gamma 90.00
_space_group_name_H-M_alt 'P 4/m m m'
_space_group_IT_number 123
_space_group_name_Hall '-P 4 2'
loop_
_atom_site_label
_atom_site_fract_x
_atom_site_fract_y
_atom_site_fract_z
Zr1 0.0000 0.0000 0.0000
Al1 0.5000 0.5000 0.0000
Pt1 0.0000 0.0000 0.5000
W1 0.0000 0.5000 0.5000
# Formation enthalpy at 0 K = 1361 meV per atom
# Total magnetic moment = 0.00 μB/f.u.

# YAl2Pt3 | the Alexandria database | GGA-PBE | optimized geometry
data_YAl2Pt3
_chemical_formula_sum 'Y6 Al12 Pt18'
_cell_length_a 16.5901
_cell_length_b 4.0565
_cell_length_c 9.9833
_cell_angle_alpha 90.00
_cell_angle_beta 107.26
_cell_angle_gamma 90.00
_space_group_name_H-M_alt 'C 1 2/m 1'
_space_group_IT_number 12
loop_
_space_group_symop_operation_xyz
'x,y,z'
'-x,-y,-z'
'-x,y,-z'
'x,-y,z'
'x+1/2,y+1/2,z'
'-x+1/2,-y+1/2,-z'
'-x+1/2,y+1/2,-z'
'x+1/2,-y+1/2,z'
loop_
_atom_site_label
_atom_site_fract_x
_atom_site_fract_y
_atom_site_fract_z
Y1 0.0000 0.0000 0.0000
Y2 0.1609 0.0000 0.7025
Al1 0.0359 0.5000 0.7762
Al2 0.1389 0.5000 0.4459
Al3 0.1953 0.0000 0.1236
Pt1 0.0000 0.5000 0.5000
Pt2 0.0413 0.0000 0.3350
Pt3 0.1149 0.5000 0.1876
Pt4 0.1739 0.5000 0.9509
Pt5 0.2203 0.0000 0.3883
# Formation enthalpy at 0 K = -1083 meV per atom
# Total magnetic moment = 0.00 μB/f.u.

# YAl6Pt12 | the Alexandria database | GGA-PBE | optimized geometry
data_YAl6Pt12
_chemical_formula_sum 'Y3 Al18 Pt36'
_cell_length_a 11.6060
_cell_length_b 11.6060
_cell_length_c 8.2076
_cell_angle_alpha 90.00
_cell_angle_beta 90.00
_cell_angle_gamma 120.00
_space_group_name_H-M_alt 'R -3 m'
_space_group_IT_number 166
_space_group_name_Hall '-R 3 2"'
loop_
_atom_site_label
_atom_site_fract_x
_atom_site_fract_y
_atom_site_fract_z
Y1 0.0000 0.0000 0.0000
Al1 0.0463 0.5232 0.2476
Pt1 0.0000 0.3775 0.5000
Pt2 0.0796 0.1592 0.3093
# Formation enthalpy at 0 K = -824 meV per atom
# Total magnetic moment = 0.00 μB/f.u.

# YAl2Pt | the Alexandria database | GGA-PBE | optimized geometry
data_YAl2Pt
_chemical_formula_sum 'Y4 Al8 Pt4'
_cell_length_a 4.6503
_cell_length_b 4.6503
_cell_length_c 17.2246
_cell_angle_alpha 90.00
_cell_angle_beta 90.00
_cell_angle_gamma 90.00
_space_group_name_H-M_alt 'I -4 2 d'
_space_group_IT_number 122
_space_group_name_Hall 'I -4 2bw'
loop_
_atom_site_label
_atom_site_fract_x
_atom_site_fract_y
_atom_site_fract_z
Y1 0.0000 0.0000 0.0000
Al1 0.0895 0.2500 0.6250
Pt1 0.0000 0.0000 0.5000
# Formation enthalpy at 0 K = -410 meV per atom
# Total magnetic moment = 0.00 μB/f.u.

# YAl2Pt | the Alexandria database | GGA-PBE | optimized geometry
data_YAl2Pt
_chemical_formula_sum 'Y3 Al6 Pt3'
_cell_length_a 4.2974
_cell_length_b 4.2974
_cell_length_c 15.4563
_cell_angle_alpha 90.00
_cell_angle_beta 90.00
_cell_angle_gamma 120.00
_space_group_name_H-M_alt 'R 3 m'
_space_group_IT_number 160
_space_group_name_Hall 'R 3 -2"'
loop_
_atom_site_label
_atom_site_fract_x
_atom_site_fract_y
_atom_site_fract_z
Y1 0.0000 0.0000 0.0000
Al1 0.0000 0.0000 0.5442
Al2 0.0000 0.0000 0.7942
Pt1 0.0000 0.0000 0.1933
# Formation enthalpy at 0 K = -880 meV per atom
# Total magnetic moment = 0.00 μB/f.u.

# Y2AlPt2 | the Alexandria database | GGA-PBE | optimized geometry
data_Y2AlPt2
_chemical_formula_sum 'Y4 Al2 Pt4'
_cell_length_a 3.8255
_cell_length_b 3.8255
_cell_length_c 16.2281
_cell_angle_alpha 90.00
_cell_angle_beta 90.00
_cell_angle_gamma 90.00
_space_group_name_H-M_alt 'I 4/m m m'
_space_group_IT_number 139
_space_group_name_Hall '-I 4 2'
loop_
_atom_site_label
_atom_site_fract_x
_atom_site_fract_y
_atom_site_fract_z
Y1 0.0000 0.0000 0.1168
Al1 0.0000 0.0000 0.5000
Pt1 0.0000 0.5000 0.2500
# Formation enthalpy at 0 K = -620 meV per atom
# Total magnetic moment = 0.00 μB/f.u.

# YAl2Pt | the Alexandria database | GGA-PBE | optimized geometry
data_YAl2Pt
_chemical_formula_sum 'Y3 Al6 Pt3'
_cell_length_a 4.2448
_cell_length_b 4.2448
_cell_length_c 15.3093
_cell_angle_alpha 90.00
_cell_angle_beta 90.00
_cell_angle_gamma 120.00
_space_group_name_H-M_alt 'R -3 m'
_space_group_IT_number 166
_space_group_name_Hall '-R 3 2"'
loop_
_atom_site_label
_atom_site_fract_x
_atom_site_fract_y
_atom_site_fract_z
Y1 0.0000 0.0000 0.0000
Al1 0.0000 0.0000 0.2111
Pt1 0.0000 0.0000 0.5000
# Formation enthalpy at 0 K = -854 meV per atom
# Total magnetic moment = 0.00 μB/f.u.

# YAlPt2 | the Alexandria database | GGA-PBE | optimized geometry
data_YAlPt2
_chemical_formula_sum 'Y1 Al1 Pt2'
_cell_length_a 3.1467
_cell_length_b 3.1467
_cell_length_c 7.1528
_cell_angle_alpha 90.00
_cell_angle_beta 90.00
_cell_angle_gamma 90.00
_space_group_name_H-M_alt 'P 4/m m m'
_space_group_IT_number 123
_space_group_name_Hall '-P 4 2'
loop_
_atom_site_label
_atom_site_fract_x
_atom_site_fract_y
_atom_site_fract_z
Y1 0.0000 0.0000 0.0000
Al1 0.0000 0.0000 0.5000
Pt1 0.5000 0.5000 0.2936
# Formation enthalpy at 0 K = -1033 meV per atom
# Total magnetic moment = 0.00 μB/f.u.

# YAlPt2 | the Alexandria database | GGA-PBE | optimized geometry
data_YAlPt2
_chemical_formula_sum 'Y2 Al2 Pt4'
_cell_length_a 4.0348
_cell_length_b 4.0348
_cell_length_c 8.9010
_cell_angle_alpha 90.00
_cell_angle_beta 90.00
_cell_angle_gamma 90.00
_space_group_name_H-M_alt 'I -4 m 2'
_space_group_IT_number 119
_space_group_name_Hall 'I -4 -2'
loop_
_atom_site_label
_atom_site_fract_x
_atom_site_fract_y
_atom_site_fract_z
Y1 0.0000 0.0000 0.0000
Al1 0.0000 0.5000 0.7500
Pt1 0.0000 0.0000 0.5000
Pt2 0.0000 0.5000 0.2500
# Formation enthalpy at 0 K = -914 meV per atom
# Total magnetic moment = 0.00 μB/f.u.

# Y3Al9Pt2 | the Alexandria database | GGA-PBE | optimized geometry
data_Y3Al9Pt2
_chemical_formula_sum 'Y6 Al18 Pt4'
_cell_length_a 4.2558
_cell_length_b 10.0672
_cell_length_c 12.3287
_cell_angle_alpha 90.00
_cell_angle_beta 90.00
_cell_angle_gamma 90.00
_space_group_name_H-M_alt 'I m m m'
_space_group_IT_number 71
_space_group_name_Hall '-I 2 2'
loop_
_atom_site_label
_atom_site_fract_x
_atom_site_fract_y
_atom_site_fract_z
Y1 0.0000 0.0000 0.0000
Y2 0.0000 0.0000 0.3115
Al1 0.0000 0.2820 0.1268
Al2 0.0000 0.3698 0.3396
Al3 0.0000 0.5000 0.0000
Pt1 0.0000 0.2107 0.5000
# Formation enthalpy at 0 K = -717 meV per atom
# Total magnetic moment = 0.00 μB/f.u.

# Y3Al2Pt6 | the Alexandria database | GGA-PBE | optimized geometry
data_Y3Al2Pt6
_chemical_formula_sum 'Y12 Al8 Pt24'
_cell_length_a 9.5129
_cell_length_b 9.5129
_cell_length_c 9.5129
_cell_angle_alpha 90.00
_cell_angle_beta 90.00
_cell_angle_gamma 90.00
_space_group_name_H-M_alt 'I m -3 m'
_space_group_IT_number 229
_space_group_name_Hall '-I 4 2 3'
loop_
_atom_site_label
_atom_site_fract_x
_atom_site_fract_y
_atom_site_fract_z
Y1 0.0000 0.0000 0.2981
Al1 0.2500 0.2500 0.2500
Pt1 0.0000 0.3208 0.3208
# Formation enthalpy at 0 K = -1142 meV per atom
# Total magnetic moment = 0.00 μB/f.u.

# Y3AlPt | the Alexandria database | GGA-PBE | optimized geometry
data_Y3AlPt
_chemical_formula_sum 'Y3 Al1 Pt1'
_cell_length_a 5.3883
_cell_length_b 5.3883
_cell_length_c 5.3883
_cell_angle_alpha 90.00
_cell_angle_beta 90.00
_cell_angle_gamma 90.00
_space_group_name_H-M_alt 'P m -3 m'
_space_group_IT_number 221
_space_group_name_Hall '-P 4 2 3'
loop_
_atom_site_label
_atom_site_fract_x
_atom_site_fract_y
_atom_site_fract_z
Y1 0.0000 0.0000 0.5000
Al1 0.5000 0.5000 0.5000
Pt1 0.0000 0.0000 0.0000
# Formation enthalpy at 0 K = -276 meV per atom
# Total magnetic moment = 0.00 μB/f.u.

# Y3Al6Pt5 | the Alexandria database | GGA-PBE | optimized geometry
data_Y3Al6Pt5
_chemical_formula_sum 'Y6 Al12 Pt10'
_cell_length_a 4.2603
_cell_length_b 12.6916
_cell_length_c 9.4136
_cell_angle_alpha 90.00
_cell_angle_beta 90.00
_cell_angle_gamma 90.00
_space_group_name_H-M_alt 'P m m n'
_space_group_IT_number 59
loop_
_space_group_symop_operation_xyz
'x,y,z'
'-x,-y,-z'
'-x+1/2,-y+1/2,z'
'x+1/2,y+1/2,-z'
'x+1/2,-y,-z'
'-x+1/2,y,z'
'-x,y+1/2,-z'
'x,-y+1/2,z'
loop_
_atom_site_label
_atom_site_fract_x
_atom_site_fract_y
_atom_site_fract_z
Y1 0.2500 0.0494 0.2491
Y2 0.2500 0.7500 0.2607
Al1 0.2500 0.0694 0.5875
Al2 0.2500 0.2500 0.0448
Al3 0.2500 0.2500 0.4184
Al4 0.2500 0.5952 0.9798
Pt1 0.2500 0.0969 0.8681
Pt2 0.2500 0.6325 0.5365
Pt3 0.2500 0.7500 0.7981
# Formation enthalpy at 0 K = -1122 meV per atom
# Total magnetic moment = 0.00 μB/f.u.

# YAl2Pt | the Alexandria database | GGA-PBE | optimized geometry
data_YAl2Pt
_chemical_formula_sum 'Y1 Al2 Pt1'
_cell_length_a 3.5843
_cell_length_b 4.4799
_cell_length_c 5.1289
_cell_angle_alpha 90.00
_cell_angle_beta 96.29
_cell_angle_gamma 90.00
_space_group_name_H-M_alt 'P 1 2/m 1'
_space_group_IT_number 10
loop_
_space_group_symop_operation_xyz
'x,y,z'
'-x,-y,-z'
'-x,y,-z'
'x,-y,z'
loop_
_atom_site_label
_atom_site_fract_x
_atom_site_fract_y
_atom_site_fract_z
Y1 0.0000 0.0000 0.0000
Al1 0.4334 0.5000 0.7422
Pt1 0.5000 0.0000 0.5000
# Formation enthalpy at 0 K = -702 meV per atom
# Total magnetic moment = 0.00 μB/f.u.

# YAlPt2 | the Alexandria database | GGA-PBE | optimized geometry
data_YAlPt2
_chemical_formula_sum 'Y1 Al1 Pt2'
_cell_length_a 4.5969
_cell_length_b 4.5969
_cell_length_c 3.4516
_cell_angle_alpha 90.00
_cell_angle_beta 90.00
_cell_angle_gamma 90.00
_space_group_name_H-M_alt 'P 4/m m m'
_space_group_IT_number 123
_space_group_name_Hall '-P 4 2'
loop_
_atom_site_label
_atom_site_fract_x
_atom_site_fract_y
_atom_site_fract_z
Y1 0.0000 0.0000 0.0000
Al1 0.5000 0.5000 0.0000
Pt1 0.0000 0.5000 0.5000
# Formation enthalpy at 0 K = -946 meV per atom
# Total magnetic moment = 0.00 μB/f.u.

# YAl5Pt3 | the Alexandria database | GGA-PBE | optimized geometry
data_YAl5Pt3
_chemical_formula_sum 'Y4 Al20 Pt12'
_cell_length_a 4.0438
_cell_length_b 12.9465
_cell_length_c 12.4927
_cell_angle_alpha 90.00
_cell_angle_beta 90.00
_cell_angle_gamma 90.00
_space_group_name_H-M_alt 'C m c m'
_space_group_IT_number 63
_space_group_name_Hall '-C 2c 2'
loop_
_atom_site_label
_atom_site_fract_x
_atom_site_fract_y
_atom_site_fract_z
Y1 0.0000 0.1438 0.2500
Al1 0.0000 0.0000 0.0000
Al2 0.0000 0.2003 0.5613
Al3 0.0000 0.4364 0.1474
Pt1 0.0000 0.1291 0.7500
Pt2 0.0000 0.3889 0.5512
# Formation enthalpy at 0 K = -916 meV per atom
# Total magnetic moment = 0.00 μB/f.u.

# Y2Al9Pt3 | the Alexandria database | GGA-PBE | optimized geometry
data_Y2Al9Pt3
_chemical_formula_sum 'Y8 Al36 Pt12'
_cell_length_a 13.2647
_cell_length_b 7.6384
_cell_length_c 10.4282
_cell_angle_alpha 90.00
_cell_angle_beta 114.95
_cell_angle_gamma 90.00
_space_group_name_H-M_alt 'C 1 2/c 1'
_space_group_IT_number 15
loop_
_space_group_symop_operation_xyz
'x,y,z'
'-x,-y,-z'
'-x,y,-z+1/2'
'x,-y,z+1/2'
'x+1/2,y+1/2,z'
'-x+1/2,-y+1/2,-z'
'-x+1/2,y+1/2,-z+1/2'
'x+1/2,-y+1/2,z+1/2'
loop_
_atom_site_label
_atom_site_fract_x
_atom_site_fract_y
_atom_site_fract_z
Y1 0.1691 0.0843 0.2498
Al1 0.0000 0.3736 0.2500
Al2 0.0585 0.0831 0.9247
Al3 0.1032 0.3149 0.7485
Al4 0.1036 0.4157 0.0609
Al5 0.2251 0.4168 0.4271
Pt1 0.0853 0.2431 0.5000
Pt2 0.2500 0.2500 0.0000
# Formation enthalpy at 0 K = -849 meV per atom
# Total magnetic moment = 0.00 μB/f.u.

# YAlPt | the Alexandria database | GGA-PBE | optimized geometry
data_YAlPt
_chemical_formula_sum 'Y4 Al4 Pt4'
_cell_length_a 6.9252
_cell_length_b 4.4420
_cell_length_c 7.7435
_cell_angle_alpha 90.00
_cell_angle_beta 90.00
_cell_angle_gamma 90.00
_space_group_name_H-M_alt 'P n m a'
_space_group_IT_number 62
loop_
_space_group_symop_operation_xyz
'x,y,z'
'-x,-y,-z'
'-x+1/2,-y,z+1/2'
'x+1/2,y,-z+1/2'
'x+1/2,-y+1/2,-z+1/2'
'-x+1/2,y+1/2,z+1/2'
'-x,y+1/2,-z'
'x,-y+1/2,z'
loop_
_atom_site_label
_atom_site_fract_x
_atom_site_fract_y
_atom_site_fract_z
Y1 0.0253 0.2500 0.1836
Al1 0.1487 0.2500 0.5656
Pt1 0.2245 0.7500 0.3867
# Formation enthalpy at 0 K = -1162 meV per atom
# Total magnetic moment = 0.00 μB/f.u.

# YAlPt2 | the Alexandria database | GGA-PBE | optimized geometry
data_YAlPt2
_chemical_formula_sum 'Y4 Al4 Pt8'
_cell_length_a 4.8552
_cell_length_b 4.8552
_cell_length_c 15.7639
_cell_angle_alpha 90.00
_cell_angle_beta 90.00
_cell_angle_gamma 90.00
_space_group_name_H-M_alt 'I -4 2 d'
_space_group_IT_number 122
_space_group_name_Hall 'I -4 2bw'
loop_
_atom_site_label
_atom_site_fract_x
_atom_site_fract_y
_atom_site_fract_z
Y1 0.0000 0.0000 0.0000
Al1 0.0000 0.0000 0.5000
Pt1 0.1373 0.2500 0.6250
# Formation enthalpy at 0 K = -611 meV per atom
# Total magnetic moment = 0.00 μB/f.u.

# Y2Al12Pt7 | the Alexandria database | GGA-PBE | optimized geometry
data_Y2Al12Pt7
_chemical_formula_sum 'Y2 Al12 Pt7'
_cell_length_a 9.9534
_cell_length_b 9.9534
_cell_length_c 4.1613
_cell_angle_alpha 90.00
_cell_angle_beta 90.00
_cell_angle_gamma 120.00
_space_group_name_H-M_alt 'P -6'
_space_group_IT_number 174
loop_
_space_group_symop_operation_xyz
'x,y,z'
'-x+y,-x,-z'
'-y,x-y,z'
'x,y,-z'
'-x+y,-x,z'
'-y,x-y,-z'
loop_
_atom_site_label
_atom_site_fract_x
_atom_site_fract_y
_atom_site_fract_z
Y1 0.0000 0.0000 0.0000
Y2 0.3333 0.6667 0.5000
Al1 0.0246 0.7404 0.5000
Al2 0.1388 0.3875 0.0000
Al3 0.3742 0.1793 0.0000
Al4 0.5351 0.1194 0.5000
Pt1 0.0359 0.5800 0.0000
Pt2 0.2432 0.0148 0.5000
Pt3 0.6667 0.3333 0.0000
# Formation enthalpy at 0 K = -1003 meV per atom
# Total magnetic moment = 0.00 μB/f.u.